Below is a geometry-optimized Be2NbVCr structure, with properties calculated at the PBE level.

Summary:
E_form: 5.4 eV/f.u.

a b c (Å): 4.127 4.127 4.360
angles (deg): 90.00 90.00 90.00
Space group P4/mmm (No. 123)
Unique sites:
Be 0.000 0.500 0.000 x2
Nb 0.000 0.000 0.500 x1
V 0.500 0.500 0.500 x1
Cr 0.000 0.000 0.000 x1



Below is a geometry-optimized MnFe3I structure, with properties calculated at the PBE level.

Summary:
Offset from the most stable computed form: 0.0 meV per atom
Formation energy (no corrections): 1.26 eV/atom

a b c (Å): 4.416 4.416 4.416
angles (deg): 90.00 90.00 90.00
Space group Pm-3m (No. 221)
Unique sites:
Mn 0.000 0.000 0.000 x1
Fe 0.000 0.000 0.500 x3
I 0.500 0.500 0.500 x1



Below is a geometry-optimized TlIn2Sb structure, with properties calculated at the PBE level.

Summary:
Offset from the most stable computed form: 14.0 meV per atom
Formation energy (no corrections): 0.03 eV/atom

a b c (Å): 10.512 3.304 6.815
angles (deg): 90.00 94.87 90.00
Space group Cm (No. 8)
Unique sites:
Tl 0.000 0.000 0.000 x2
In 0.245 0.000 0.727 x2
In 0.495 0.000 0.507 x2
Sb 0.247 0.500 0.285 x2



Below is a geometry-optimized TiGeTe2N structure, with properties calculated at the PBE level.

Summary:
Offset from the most stable computed form: 0.0 meV per atom
Formation energy (no corrections): 0.05 eV/atom

a b c (Å): 5.562 5.562 3.738
angles (deg): 90.00 90.00 90.00
Space group P4/mmm (No. 123)
Unique sites:
Ti 0.000 0.000 0.000 x1
Ge 0.500 0.500 0.500 x1
Te 0.000 0.500 0.000 x2
N 0.000 0.000 0.500 x1



Below is a geometry-optimized KGa3Fe structure, with properties calculated at the PBE level.

Summary:
E_form: -0.9 eV/f.u.
Offset from the most stable computed form: 0.0 meV per atom

a b c (Å): 4.708 4.708 4.708
angles (deg): 90.00 90.00 90.00
Space group Pm-3m (No. 221)
Unique sites:
K 0.000 0.000 0.000 x1
Ga 0.000 0.500 0.500 x3
Fe 0.500 0.500 0.500 x1



Below is a geometry-optimized HgSb2Se structure, with properties calculated at the PBE level.

Summary:
Offset from the most stable computed form: 198.6 meV per atom
Formation energy (no corrections): 0.20 eV/atom

a b c (Å): 7.387 7.387 7.387
angles (deg): 90.00 90.00 90.00
Space group F-43m (No. 216)
Unique sites:
Hg 0.000 0.000 0.000 x4
Sb 0.000 0.000 0.500 x4
Sb 0.250 0.250 0.250 x4
Se 0.250 0.250 0.750 x4



Below is a geometry-optimized MgIrSe2N structure, with properties calculated at the PBE level.

Summary:
Offset from the most stable computed form: 0.0 meV per atom
Formation energy (no corrections): 0.04 eV/atom

a b c (Å): 5.195 5.195 3.659
angles (deg): 90.00 90.00 90.00
Space group P4/mmm (No. 123)
Unique sites:
Mg 0.000 0.000 0.000 x1
Ir 0.500 0.500 0.500 x1
Se 0.000 0.500 0.500 x2
N 0.500 0.500 0.000 x1



Below is a geometry-optimized Cd2Cu3 structure, with properties calculated at the PBE level.

Summary:
E_form: 0.2 eV/f.u.
Offset from the most stable computed form: 0.0 meV per atom

a b c (Å): 9.135 13.251 5.194
angles (deg): 90.00 90.00 90.00
Space group Fdd2 (No. 43)
Unique sites:
Cd 0.061 0.303 0.000 x16
Cu 0.000 0.000 0.354 x8
Cu 0.063 0.388 0.486 x16



no.,V (Å³ per cell)
1,74.3
2,86.1
3,235.8
4,115.6
5,104.3
6,403.2
7,98.7
8,628.7